w) A plane-wave DFT calculation with GGA-PBE was carried out for an optimized crystal structure of Ba2LaRe.

The structure in extended XYZ format:
```
4
Lattice="-8.545 1.458 -4.275 -6.596 0.192 -7.063 -2.236 -4.220 0.353" Properties=species:S:1:pos:R:3 pbc="T T T"
Re -4.344 -0.643 -2.746
Ba -13.893 1.080 -10.206
Ba -9.938 -0.715 -6.624
La -13.033 -1.928 -8.238
```

Computed properties:
V ... 39.9 Å³/atom
Symmetry ... Immm, No. 71
Crystal system ... orthorhombic

***

x) A plane-wave DFT calculation with GGA-PBE was carried out for an optimized crystal structure of Ba2LaRe.

The structure in extended XYZ format:
```
4
Lattice="-8.336 7.787 -3.441 -10.481 4.727 -3.126 -9.761 6.832 -0.106" Properties=species:S:1:pos:R:3 pbc="T T T"
Re -21.434 14.510 -5.005
Ba -0.549 0.372 -0.128
Ba -13.740 9.302 -3.209
La -7.145 4.837 -1.668
```

Computed properties:
V ... 35.7 Å³/atom
Symmetry ... R-3m, No. 166
Crystal system ... trigonal

***

Result of the stability comparison: w) is the most stable of them.